1.
RbGeAs2O8: relaxed, PBE.

Calculated values
Final energy in eV for the cell shown: -68.880
Magnetization in Bohr magnetons per cell: 1.076

abc: 5.023 5.023 9.682
angles: 74.96 74.96 60.00
Site moments in Bohr magnetons follow the coordinates.
Atoms (fractional coordinates):
Rb: 0.000 0.000 0.000  0.00
Ge: 0.500 0.500 0.500  -0.01
As: 0.769 0.769 0.694  -0.01
As: 0.231 0.231 0.306  -0.01
O: 0.708 0.708 0.876  0.13
O: 0.292 0.292 0.124  0.13
O: 0.502 0.272 0.368  0.12
O: 0.728 0.498 0.632  0.12
O: 0.142 0.728 0.632  0.12
O: 0.272 0.858 0.368  0.12
O: 0.858 0.502 0.368  0.12
O: 0.498 0.142 0.632  0.12

2.
Ce3ThPt: relaxed, PBE.

Calculated values
Formation energy in eV/atom: -0.359
Magnetization in Bohr magnetons per cell: 0.001

abc: 5.310 6.435 7.671
angles: 99.15 90.00 90.00
Atoms (fractional coordinates):
Ce: 0.476 0.272 0.303
Ce: 0.476 0.986 0.862
Ce: 0.976 0.494 0.404
Ce: 0.976 0.081 0.598
Ce: 0.976 0.367 0.039
Ce: 0.476 0.858 0.497
Th: 0.476 0.463 0.742
Th: 0.976 0.890 0.160
Pt: 0.976 0.694 0.769
Pt: 0.476 0.659 0.132

3.
Pr3Sm5Er: relaxed, PBE.

Calculated values
Formation energy in eV/atom: 0.492
Magnetization in Bohr magnetons per cell: 0.000

abc: 7.703 7.703 13.518
angles: 71.62 71.62 99.48
Atoms (fractional coordinates):
Pr: 0.643 0.643 0.768
Pr: 0.000 0.000 0.252
Pr: 0.000 0.000 0.000
Pr: 0.000 0.000 0.500
Pr: 0.357 0.357 0.232
Pr: 0.000 0.000 0.748
Sm: 0.948 0.447 0.369
Sm: 0.250 0.750 0.000
Sm: 0.674 0.674 0.237
Sm: 0.349 0.349 0.485
Sm: 0.651 0.651 0.515
Sm: 0.326 0.326 0.763
Sm: 0.447 0.948 0.369
Sm: 0.750 0.250 0.000
Sm: 0.052 0.553 0.631
Sm: 0.553 0.052 0.631
Er: 0.679 0.679 0.993
Er: 0.321 0.321 0.007

4.
Si5W: relaxed, PBE.

Calculated values
Magnetization in Bohr magnetons per cell: 0.000
Energy above the lowest structure with this stoichiometry in meV/atom: 0.0

abc: 4.641 4.641 4.509
angles: 90.00 90.00 120.00
Atoms (fractional coordinates):
Si: 0.678 0.000 0.000
Si: 0.322 0.322 0.000
Si: 0.000 0.678 0.000
Si: 0.667 0.333 0.500
Si: 0.333 0.667 0.500
W: 0.000 0.000 0.500

5.
LaTb12Ho3: relaxed, PBE.

Calculated values
Formation energy in eV/atom: 0.021
Magnetization in Bohr magnetons per cell: 0.000

abc: 5.043 5.043 20.186
angles: 90.00 90.00 90.00
Atoms (fractional coordinates):
La: 0.000 0.000 0.000
Tb: 0.500 0.500 0.000
Tb: 0.500 0.500 0.253
Tb: 0.500 0.500 0.500
Tb: 0.500 0.500 0.747
Tb: 0.500 0.000 0.128
Tb: 0.500 0.000 0.376
Tb: 0.500 0.000 0.624
Tb: 0.500 0.000 0.872
Tb: 0.000 0.500 0.128
Tb: 0.000 0.500 0.376
Tb: 0.000 0.500 0.624
Tb: 0.000 0.500 0.872
Ho: 0.000 0.000 0.252
Ho: 0.000 0.000 0.500
Ho: 0.000 0.000 0.748

6.
ReAgSb: relaxed, PBE.

Calculated values
Magnetization in Bohr magnetons per cell: 0.856
Energy above the lowest structure with this stoichiometry in meV/atom: 0.2

abc: 5.489 5.489 5.489
angles: 144.32 144.32 51.35
Site moments in Bohr magnetons follow the coordinates.
Atoms (fractional coordinates):
Re: 0.320 0.320 0.000  0.70
Ag: 0.997 0.997 0.000  0.06
Sb: 0.683 0.683 0.000  0.00